# PBE RbSiPb3, optimized geometry
data_RbSiPb3
_cell_length_a 5.642
_cell_length_b 5.642
_cell_length_c 5.642
_cell_angle_alpha 90.00
_cell_angle_beta 90.00
_cell_angle_gamma 90.00
_symmetry_space_group_name_H-M 'P m -3 m'
_symmetry_Int_Tables_number 221
_symmetry_space_group_name_Hall '-P 4 2 3'
loop_
_atom_site_label
_atom_site_fract_x
_atom_site_fract_y
_atom_site_fract_z
Rb1 0.000 0.000 0.000
Si1 0.500 0.500 0.500
Pb1 0.000 0.500 0.500
# polymorph energy (0 for the lowest one): 0.000 eV per atom
# formation energy without anion corrections: 1.4 eV per formula unit


# PBE UGa6Au12, optimized geometry
data_UGa6Au12
_cell_length_a 12.0967
_cell_length_b 12.0967
_cell_length_c 8.8006
_cell_angle_alpha 90.00
_cell_angle_beta 90.00
_cell_angle_gamma 120.00
_symmetry_space_group_name_H-M 'R -3 m'
_symmetry_Int_Tables_number 166
_symmetry_space_group_name_Hall '-R 3 2"'
loop_
_atom_site_label
_atom_site_fract_x
_atom_site_fract_y
_atom_site_fract_z
U1 0.0000 0.0000 0.0000
Ga1 0.0567 0.5284 0.2483
Au1 0.0000 0.3811 0.5000
Au2 0.0814 0.1628 0.2927
# formation energy from the elements: -0.08 eV/atom


# PBE PaAlGe, optimized geometry
data_PaAlGe
_cell_length_a 4.083
_cell_length_b 4.083
_cell_length_c 7.703
_cell_angle_alpha 90.00
_cell_angle_beta 90.00
_cell_angle_gamma 90.00
_symmetry_space_group_name_H-M 'P 4/n m m'
_symmetry_Int_Tables_number 129
loop_
_symmetry_equiv_pos_as_xyz
'x,y,z'
'-x,-y,-z'
'-y+1/2,x,z'
'y+1/2,-x,-z'
'-x+1/2,-y+1/2,z'
'x+1/2,y+1/2,-z'
'y,-x+1/2,z'
'-y,x+1/2,-z'
'x+1/2,-y,-z'
'-x+1/2,y,z'
'-y,-x,-z'
'y,x,z'
'-x,y+1/2,-z'
'x,-y+1/2,z'
'y+1/2,x+1/2,-z'
'-y+1/2,-x+1/2,z'
loop_
_atom_site_label
_atom_site_fract_x
_atom_site_fract_y
_atom_site_fract_z
Pa1 0.250 0.250 0.170
Al1 0.250 0.750 0.500
Ge1 0.250 0.250 0.788
# formation energy from the elements: -0.28 eV/atom


# PBE CaGeO2F, optimized geometry
data_CaGeO2F
_cell_length_a 4.014
_cell_length_b 4.014
_cell_length_c 4.115
_cell_angle_alpha 90.00
_cell_angle_beta 90.00
_cell_angle_gamma 90.00
_symmetry_space_group_name_H-M 'P 4/m m m'
_symmetry_Int_Tables_number 123
_symmetry_space_group_name_Hall '-P 4 2'
loop_
_atom_site_label
_atom_site_fract_x
_atom_site_fract_y
_atom_site_fract_z
Ca1 0.000 0.000 0.000
Ge1 0.500 0.500 0.500
O1 0.000 0.500 0.500
F1 0.500 0.500 0.000
# formation energy without anion corrections: -10.2 eV per formula unit


# PBE Hf3Zr2, optimized geometry
data_Hf3Zr2
_cell_length_a 10.407
_cell_length_b 27.870
_cell_length_c 3.135
_cell_angle_alpha 90.00
_cell_angle_beta 90.00
_cell_angle_gamma 90.00
_symmetry_space_group_name_H-M 'F d d 2'
_symmetry_Int_Tables_number 43
_symmetry_space_group_name_Hall 'F 2 -2d'
loop_
_atom_site_label
_atom_site_fract_x
_atom_site_fract_y
_atom_site_fract_z
Hf1 0.000 0.000 0.000
Hf2 0.036 0.403 0.028
Zr1 0.021 0.299 0.664
# polymorph energy (0 for the lowest one): 0.116 eV per atom
# formation energy from the elements: 0.11 eV/atom


# PBE NaNpMnTe3, optimized geometry
data_NaNpMnTe3
_cell_length_a 9.000
_cell_length_b 4.410
_cell_length_c 10.037
_cell_angle_alpha 90.00
_cell_angle_beta 103.65
_cell_angle_gamma 90.00
_symmetry_space_group_name_H-M 'P 1 21/m 1'
_symmetry_Int_Tables_number 11
_symmetry_space_group_name_Hall '-P 2yb'
loop_
_atom_site_label
_atom_site_fract_x
_atom_site_fract_y
_atom_site_fract_z
Na1 0.190 0.250 0.224
Np1 0.329 0.750 0.845
Mn1 0.082 0.250 0.588
Te1 0.089 0.250 0.857
Te2 0.228 0.750 0.523
Te3 0.432 0.750 0.164
# formation energy without anion corrections: -3.3 eV per formula unit


# PBE Ca2Cd9In3, optimized geometry
data_Ca2Cd9In3
_cell_length_a 15.231
_cell_length_b 8.826
_cell_length_c 10.344
_cell_angle_alpha 90.00
_cell_angle_beta 90.00
_cell_angle_gamma 90.00
_symmetry_space_group_name_H-M 'C m c m'
_symmetry_Int_Tables_number 63
_symmetry_space_group_name_Hall '-C 2c 2'
loop_
_atom_site_label
_atom_site_fract_x
_atom_site_fract_y
_atom_site_fract_z
Ca1 0.162 0.161 0.250
Cd1 0.000 0.146 0.750
Cd2 0.000 0.330 0.070
Cd3 0.097 0.449 0.750
Cd4 0.166 0.175 0.595
In1 0.000 0.000 0.000
In2 0.183 0.500 0.000
# formation energy from the elements: -0.16 eV/atom


# PBE PuBiSe2, optimized geometry
data_PuBiSe2
_cell_length_a 4.0464
_cell_length_b 4.0464
_cell_length_c 27.2759
_cell_angle_alpha 90.00
_cell_angle_beta 90.00
_cell_angle_gamma 120.00
_symmetry_space_group_name_H-M 'R -3 m'
_symmetry_Int_Tables_number 166
_symmetry_space_group_name_Hall '-R 3 2"'
loop_
_atom_site_label
_atom_site_fract_x
_atom_site_fract_y
_atom_site_fract_z
Pu1 0.0000 0.0000 0.0000
Bi1 0.0000 0.0000 0.5000
Se1 0.0000 0.0000 0.3934
# formation energy without anion corrections: -3.3 eV per formula unit


# PBE HoThO4, optimized geometry
data_HoThO4
_cell_length_a 3.743
_cell_length_b 3.743
_cell_length_c 6.182
_cell_angle_alpha 90.00
_cell_angle_beta 90.00
_cell_angle_gamma 90.00
_symmetry_space_group_name_H-M 'P 4/m m m'
_symmetry_Int_Tables_number 123
_symmetry_space_group_name_Hall '-P 4 2'
loop_
_atom_site_label
_atom_site_fract_x
_atom_site_fract_y
_atom_site_fract_z
Ho1 0.000 0.000 0.000
Th1 0.000 0.000 0.500
O1 0.000 0.500 0.249
# formation energy without anion corrections: -17.2 eV per formula unit


# PBE Cs3SeCl, optimized geometry
data_Cs3SeCl
_cell_length_a 6.787
_cell_length_b 13.831
_cell_length_c 10.418
_cell_angle_alpha 90.00
_cell_angle_beta 90.00
_cell_angle_gamma 90.00
_symmetry_space_group_name_H-M 'I m m a'
_symmetry_Int_Tables_number 74
_symmetry_space_group_name_Hall '-I 2b 2'
loop_
_atom_site_label
_atom_site_fract_x
_atom_site_fract_y
_atom_site_fract_z
Cs1 0.000 0.053 0.159
Cs2 0.000 0.250 0.606
Se1 0.000 0.000 0.500
Cl1 0.000 0.250 0.957
# polymorph energy (0 for the lowest one): 0.000 eV per atom
# formation energy without anion corrections: -6.7 eV per formula unit


# PBE Li3SiF6, optimized geometry
data_Li3SiF6
_cell_length_a 5.113
_cell_length_b 5.209
_cell_length_c 9.281
_cell_angle_alpha 90.00
_cell_angle_beta 123.43
_cell_angle_gamma 90.00
_symmetry_space_group_name_H-M 'P 1 21/c 1'
_symmetry_Int_Tables_number 14
_symmetry_space_group_name_Hall '-P 2ybc'
loop_
_atom_site_label
_atom_site_fract_x
_atom_site_fract_y
_atom_site_fract_z
Li1 0.000 0.000 0.000
Li2 0.236 0.034 0.737
Si1 0.500 0.000 0.500
F1 0.141 0.089 0.271
F2 0.241 0.674 0.055
F3 0.423 0.197 0.083
# formation energy without anion corrections: -26.6 eV per formula unit


# PBE BaSiTc2, optimized geometry
data_BaSiTc2
_cell_length_a 3.078
_cell_length_b 5.603
_cell_length_c 9.975
_cell_angle_alpha 90.00
_cell_angle_beta 90.00
_cell_angle_gamma 90.00
_symmetry_space_group_name_H-M 'I m m 2'
_symmetry_Int_Tables_number 44
_symmetry_space_group_name_Hall 'I 2 -2'
loop_
_atom_site_label
_atom_site_fract_x
_atom_site_fract_y
_atom_site_fract_z
Ba1 0.000 0.000 0.000
Si1 0.000 0.500 0.795
Tc1 0.000 0.000 0.505
Tc2 0.000 0.500 0.195
# formation energy without anion corrections: 3.3 eV per formula unit


| no. | total DFT energy (no corrections) (eV/atom) |
| --- | --- |
| 1 | -3.220 |
| 2 | -3.704 |
| 3 | -6.230 |
| 4 | -5.714 |
| 5 | -9.278 |
| 6 | -6.030 |
| 7 | -1.618 |
| 8 | -7.114 |
| 9 | -8.177 |
| 10 | -2.917 |
| 11 | -4.895 |
| 12 | -6.203 |